First-principles (PBE) data for crystalline NbZnNi2 at its relaxed geometry, as listed in the Alexandria database.

The energy relative to the elements is 0.371 eV/atom. Its magnetization is 0.00 μB per formula unit.

It has space group Immm (No. 71), with a = 2.5685 Å, b = 4.7133 Å, c = 9.6939 Å, α = 90.00°, β = 90.00° and γ = 90.00°. The distinct sites, in fractional coordinates, are Nb at (0.0000, 0.0000, 0.0000), Zn at (0.0000, 0.0000, 0.5000) and Ni at (0.0000, 0.0000, 0.2506).